Record 1
Entry from the Alexandria database: ScCo6Ge6 after structural relaxation (PBE-GGA).

Cell: 6.3701 6.3701 6.3701 Å, 133.23 104.91 93.31°
Last column: nearest neighbours and their distance in Å.
Fractional positions:
Sc 0.0000 0.0000 0.0000  8 Ge 2.64-2.91
Co 0.0000 0.0000 0.5000  6 Ge 2.43-2.62, 4 Co 2.53
Co 0.0000 0.5000 0.0000  6 Ge 2.43-2.62, 4 Co 2.53
Co 0.2526 0.5000 0.7526  6 Ge 2.41-2.62, 4 Co 2.53
Co 0.5000 0.0000 0.0000  6 Ge 2.43-2.62, 4 Co 2.53
Co 0.5000 0.5000 0.5000  6 Ge 2.43-2.62, 4 Co 2.53
Co 0.7474 0.5000 0.2474  6 Ge 2.41-2.62, 4 Co 2.53
Ge 0.1652 0.6652 0.5000  6 Co 2.43-2.44
Ge 0.3333 0.3333 0.0000  6 Co 2.41-2.43
Ge 0.3404 0.0000 0.3404  1 Ge 2.48, 6 Co 2.62, 1 Sc 2.64
Ge 0.6596 0.0000 0.6596  1 Ge 2.48, 6 Co 2.62, 1 Sc 2.64
Ge 0.6667 0.6667 0.0000  6 Co 2.41-2.43
Ge 0.8348 0.3348 0.5000  6 Co 2.43-2.44

Results
Formation energy from the elements ... -0.357 eV/atom
SG ... Immm, No. 71

***

Record 2
Entry from the Alexandria database: U2Be4Si3Pt after structural relaxation (PBE-GGA).

Cell: 3.8665 3.8665 9.5962 Å, 90.00 90.00 90.00°
Last column: nearest neighbours and their distance in Å.
Fractional positions:
U 0.0000 0.5000 0.2439  6 Si 2.94-3.13, 8 Be 2.97-3.04, 2 Pt 3.13
U 0.5000 0.0000 0.7561  6 Si 2.94-3.13, 8 Be 2.97-3.04, 2 Pt 3.13
Be 0.0000 0.0000 0.0000  4 Si 2.31
Be 0.0000 0.5000 0.6358  3 Si 2.23-2.33, 2 Pt 2.33
Be 0.5000 0.0000 0.3642  3 Si 2.23-2.33, 2 Pt 2.33
Be 0.5000 0.5000 0.0000  4 Si 2.31
Si 0.0000 0.5000 0.8684  5 Be 2.23-2.31
Si 0.5000 0.0000 0.1316  5 Be 2.23-2.31
Si 0.5000 0.5000 0.5000  4 Be 2.33
Pt 0.0000 0.0000 0.5000  4 Be 2.33

Results
Formation energy without anion corrections ... -0.34 eV per atom
SG ... P-4m2, No. 115

***

Record 3
Entry from the Alexandria database: TaHg2Sb after structural relaxation (PBE-GGA).

Cell: 5.6107 5.6107 3.0992 Å, 90.00 90.00 117.00°
Last column: nearest neighbours and their distance in Å.
Fractional positions:
Ta 0.0000 0.0000 0.0000  2 Sb 2.93, 2 Ta 3.10, 8 Hg 3.20
Hg 0.0000 0.5000 0.5000  4 Hg 2.93-3.10, 4 Ta 3.20, 4 Sb 3.20
Hg 0.5000 0.0000 0.5000  4 Hg 2.93-3.10, 4 Ta 3.20, 4 Sb 3.20
Sb 0.5000 0.5000 0.0000  2 Ta 2.93, 2 Sb 3.10, 8 Hg 3.20

Results
Formation energy without anion corrections ... 0.46 eV per atom
SG ... Cmmm, No. 65